Below is a geometry-optimized NaLiZnO2 structure, with properties calculated at the GGA-PBE level.

Computed properties:
As for the final energy: -4.397 eV/atom. As for the space group: C2/m, No. 12. The relative energy among the computed polymorphs comes out at 24 meV/atom. The calculation puts the volume at 110.8 Å³/cell.

Cell: 5.662 5.662 7.835 Å, 124.10 124.10 32.94°
Fractional positions:
Na1 0.159 0.159 0.132
Na2 0.841 0.841 0.868
Li1 0.348 0.348 0.571
Li2 0.652 0.652 0.429
Zn1 0.065 0.065 0.708
Zn2 0.935 0.935 0.292
O1 0.174 0.174 0.581
O2 0.446 0.446 0.156
O3 0.554 0.554 0.844
O4 0.826 0.826 0.419